Material: Er6As3PS2
Method: DFT, PBE
State: relaxed

Cell: 8.9337 8.9337 7.9789 Å, 102.78 102.78 25.89°
Closest atoms and distances in Å follow each position.
Element x y z (fractional)
Er1 0.0001 0.0001 0.2437  2 P 2.79, 1 S 2.84, 3 As 2.85-2.86
Er2 0.9999 0.9999 0.7563  2 P 2.79, 1 S 2.84, 3 As 2.85-2.86
Er3 0.3341 0.3341 0.4167  3 As 2.81-2.82, 3 S 2.82
Er4 0.3361 0.3361 0.9182  1 P 2.78, 3 As 2.83-2.85, 2 S 2.84
Er5 0.6639 0.6639 0.0818  1 P 2.78, 3 As 2.83-2.85, 2 S 2.84
Er6 0.6659 0.6659 0.5833  3 As 2.81-2.82, 3 S 2.82
As1 0.1681 0.1681 0.8327  6 Er 2.82-2.85
As2 0.5000 0.5000 0.5000  6 Er 2.81-2.86
As3 0.8319 0.8319 0.1673  6 Er 2.82-2.85
P1 0.5000 0.5000 0.0000  6 Er 2.78-2.79
S1 0.1677 0.1677 0.3356  6 Er 2.82-2.84
S2 0.8323 0.8323 0.6644  6 Er 2.82-2.84

- E_form (uncorrected) (eV/atom) = -1.72